TaCoBr2: relaxed, GGA-PBE.

Computed properties:
* distance to the lowest polymorph of the same formula: 987 meV per atom
* space-group type: P2/m (10)

Geometry as POSCAR:
```
TaCoBr2
1.0
4.454 0.000 0.000
0.000 3.225 -0.004
0.000 -0.441 5.424
Br Co Ta
2 1 1
direct
0.000 0.965 0.001 Br
0.000 0.535 0.499 Br
0.500 0.250 0.250 Co
0.500 0.750 0.750 Ta
```

---

ZnNi10P3: relaxed, GGA-PBE.

Computed properties:
* distance to the lowest polymorph of the same formula: 47 meV per atom
* space-group type: Fm-3m (225)
* ΔH_f (0 K): -0.377 eV per atom

Geometry as POSCAR:
```
ZnNi10P3
1.0
6.750 0.000 3.897
2.250 6.364 3.897
0.000 0.000 7.795
Zn Ni P
2 20 6
direct
0.250 0.250 0.250 Zn
0.750 0.750 0.750 Zn
0.000 0.000 0.348 Ni
0.000 0.348 0.000 Ni
0.348 0.000 0.000 Ni
0.652 0.348 0.000 Ni
0.382 0.382 0.382 Ni
0.145 0.618 0.618 Ni
0.382 0.855 0.382 Ni
0.652 0.000 0.348 Ni
0.382 0.382 0.855 Ni
0.855 0.382 0.382 Ni
0.618 0.618 0.145 Ni
0.000 0.000 0.652 Ni
0.348 0.652 0.000 Ni
0.000 0.652 0.348 Ni
0.000 0.348 0.652 Ni
0.652 0.000 0.000 Ni
0.618 0.618 0.618 Ni
0.000 0.652 0.000 Ni
0.618 0.145 0.618 Ni
0.348 0.000 0.652 Ni
0.736 0.736 0.264 P
0.736 0.264 0.736 P
0.264 0.736 0.736 P
0.264 0.264 0.736 P
0.736 0.264 0.264 P
0.264 0.736 0.264 P
```

---

TaHgCl2: relaxed, GGA-PBE.

Computed properties:
* distance to the lowest polymorph of the same formula: 277 meV per atom
* space-group type: R3m (160)

Geometry as POSCAR:
```
TaHgCl2
1.0
9.416 -0.001 -0.001
8.850 3.216 -0.001
8.850 1.558 2.814
Cl Hg Ta
2 1 1
direct
0.020 0.020 0.020 Cl
0.235 0.235 0.235 Cl
0.497 0.497 0.497 Hg
0.748 0.748 0.748 Ta
```

---

Zr2ZnRh6: relaxed, GGA-PBE.

Computed properties:
* space-group type: Immm (71)
* ΔH_f (0 K): -0.312 eV per atom

Geometry as POSCAR:
```
Zr2ZnRh6
1.0
4.563 0.000 -0.185
0.000 7.503 0.000
-2.106 -3.752 4.448
Zr Zn Rh
2 1 6
direct
0.679 0.680 0.359 Zr
0.321 0.320 0.641 Zr
0.000 0.000 0.000 Zn
0.159 0.455 0.318 Rh
0.841 0.137 0.682 Rh
0.841 0.545 0.682 Rh
0.500 0.200 0.000 Rh
0.159 0.863 0.318 Rh
0.500 0.800 0.000 Rh
```

---

Nd12Sm3Cu5: relaxed, GGA-PBE.

Computed properties:
* space-group type: Ia-3d (230)
* ΔH_f (0 K): 0.457 eV per atom

Geometry as POSCAR:
```
Nd12Sm3Cu5
1.0
-10.257 11.407 -1.620
-5.431 -12.789 -6.701
2.389 -2.674 15.003
Sm Cu Nd
12 20 48
direct
0.750 0.375 0.125 Sm
0.875 0.750 0.125 Sm
0.375 0.750 0.625 Sm
0.250 0.125 0.375 Sm
0.875 0.125 0.250 Sm
0.375 0.625 0.250 Sm
0.625 0.375 0.750 Sm
0.125 0.875 0.750 Sm
0.750 0.875 0.625 Sm
0.625 0.250 0.375 Sm
0.125 0.250 0.875 Sm
0.250 0.625 0.875 Sm
0.125 0.375 0.250 Cu
0.000 0.500 0.000 Cu
0.000 0.000 0.000 Cu
0.375 0.250 0.125 Cu
0.500 0.000 0.500 Cu
0.500 0.500 0.000 Cu
0.125 0.750 0.375 Cu
0.750 0.125 0.875 Cu
0.750 0.625 0.375 Cu
0.375 0.125 0.750 Cu
0.625 0.875 0.250 Cu
0.500 0.500 0.500 Cu
0.500 0.000 0.000 Cu
0.000 0.000 0.500 Cu
0.250 0.375 0.625 Cu
0.250 0.875 0.125 Cu
0.000 0.500 0.500 Cu
0.875 0.250 0.625 Cu
0.625 0.750 0.875 Cu
0.875 0.625 0.750 Cu
0.706 0.111 0.030 Nd
0.324 0.530 0.419 Nd
0.970 0.389 0.294 Nd
0.530 0.206 0.111 Nd
0.595 0.706 0.676 Nd
0.970 0.581 0.176 Nd
0.324 0.794 0.405 Nd
0.081 0.905 0.111 Nd
0.581 0.970 0.676 Nd
0.706 0.595 0.176 Nd
0.794 0.470 0.389 Nd
0.824 0.919 0.030 Nd
0.111 0.706 0.530 Nd
0.389 0.419 0.095 Nd
0.095 0.919 0.389 Nd
0.405 0.111 0.581 Nd
0.095 0.176 0.206 Nd
0.470 0.676 0.081 Nd
0.824 0.905 0.294 Nd
0.111 0.405 0.081 Nd
0.389 0.970 0.794 Nd
0.581 0.611 0.405 Nd
0.919 0.824 0.530 Nd
0.794 0.324 0.905 Nd
0.419 0.389 0.595 Nd
0.081 0.176 0.470 Nd
0.206 0.676 0.095 Nd
0.176 0.095 0.706 Nd
0.611 0.030 0.206 Nd
0.889 0.595 0.919 Nd
0.530 0.324 0.919 Nd
0.595 0.889 0.419 Nd
0.905 0.824 0.794 Nd
0.905 0.081 0.611 Nd
0.889 0.294 0.470 Nd
0.176 0.081 0.970 Nd
0.611 0.581 0.905 Nd
0.419 0.030 0.324 Nd
0.294 0.405 0.824 Nd
0.206 0.530 0.611 Nd
0.919 0.095 0.889 Nd
0.676 0.206 0.595 Nd
0.470 0.794 0.889 Nd
0.030 0.419 0.824 Nd
0.405 0.294 0.324 Nd
0.030 0.611 0.706 Nd
0.676 0.470 0.581 Nd
0.294 0.889 0.970 Nd
```

---

Al2CuRu2: relaxed, GGA-PBE.

Computed properties:
* distance to the lowest polymorph of the same formula: 0 meV per atom
* space-group type: P4/mbm (127)
* ΔH_f (0 K): -0.276 eV per atom

Geometry as POSCAR:
```
Al2CuRu2
1.0
-2.755 6.034 0.884
-2.108 -0.032 -6.351
-2.674 -1.352 0.894
Ru Al Cu
4 4 2
direct
0.161 0.661 0.500 Ru
0.661 0.839 0.500 Ru
0.839 0.339 0.500 Ru
0.339 0.161 0.500 Ru
0.362 0.862 0.000 Al
0.862 0.638 0.000 Al
0.638 0.138 0.000 Al
0.138 0.362 0.000 Al
0.000 0.000 0.000 Cu
0.500 0.500 0.000 Cu
```

---

EuGdAlHg: relaxed, GGA-PBE.

Computed properties:
* space-group type: F-43m (216)
* ΔH_f (0 K): -0.368 eV per atom

Geometry as POSCAR:
```
EuGdAlHg
1.0
5.355 0.000 0.000
2.678 4.638 0.000
2.678 1.546 4.373
Eu Gd Hg Al
1 1 1 1
direct
0.500 0.500 0.500 Eu
0.000 0.000 0.000 Gd
0.750 0.750 0.750 Hg
0.250 0.250 0.250 Al
```

---

SrCdSn2: relaxed, GGA-PBE.

Computed properties:
* space-group type: I-42d (122)
* ΔH_f (0 K): -0.195 eV per atom

Geometry as POSCAR:
```
SrCdSn2
1.0
5.167 0.000 0.000
0.000 5.167 0.000
2.583 2.583 10.106
Sr Sn Cd
2 4 2
direct
0.500 0.500 0.000 Sr
0.250 0.750 0.500 Sr
0.706 0.125 0.250 Sn
0.044 0.625 0.250 Sn
0.375 0.294 0.750 Sn
0.875 0.956 0.750 Sn
0.000 0.000 0.000 Cd
0.750 0.250 0.500 Cd
```

---

Nd6Cd5In: relaxed, GGA-PBE.

Computed properties:
* space-group type: C2/m (12)
* ΔH_f (0 K): -0.347 eV per atom

Geometry as POSCAR:
```
Nd6Cd5In
1.0
-4.897 -1.003 -2.140
5.968 -6.247 -3.807
-1.125 0.261 9.370
In Nd Cd
1 6 5
direct
0.000 0.000 0.000 In
0.250 0.084 0.416 Nd
0.750 0.584 0.916 Nd
0.750 0.250 0.250 Nd
0.250 0.750 0.750 Nd
0.250 0.416 0.084 Nd
0.750 0.916 0.584 Nd
0.500 0.168 0.832 Cd
0.000 0.333 0.667 Cd
0.500 0.500 0.500 Cd
0.000 0.667 0.333 Cd
0.500 0.832 0.168 Cd
```

---

TcGeN: relaxed, GGA-PBE.

Computed properties:
* distance to the lowest polymorph of the same formula: 113 meV per atom
* space-group type: Cmc2_1 (36)

Geometry as POSCAR:
```
TcGeN
1.0
-0.808 -1.817 2.126
10.037 -1.513 2.520
-0.216 3.706 3.086
Ge Tc N
4 4 4
direct
0.000 0.309 0.994 Ge
0.000 0.691 0.494 Ge
0.500 0.809 0.994 Ge
0.500 0.191 0.494 Ge
0.000 0.071 0.853 Tc
0.000 0.929 0.353 Tc
0.500 0.571 0.853 Tc
0.500 0.429 0.353 Tc
0.000 0.437 0.698 N
0.000 0.563 0.198 N
0.500 0.937 0.698 N
0.500 0.063 0.198 N
```

---

YPuMnIr: relaxed, GGA-PBE.

Computed properties:
* space-group type: F-43m (216)
* ΔH_f (0 K): -0.268 eV per atom

Geometry as POSCAR:
```
YPuMnIr
1.0
-2.781 3.217 -2.328
-1.911 -1.120 -4.312
-4.769 -0.768 -0.412
Y Ir Mn Pu
1 1 1 1
direct
0.250 0.250 0.250 Y
0.000 0.000 0.000 Ir
0.500 0.500 0.500 Mn
0.750 0.750 0.750 Pu
```

---

Y2Ag2IO6: relaxed, GGA-PBE.

Computed properties:
* space-group type: C2/m (12)

Geometry as POSCAR:
```
Y2Ag2IO6
1.0
-1.169 3.336 5.182
5.469 -2.923 -0.944
3.335 5.246 -1.746
Y Ag I O
2 2 1 6
direct
0.338 0.662 0.500 Y
0.662 0.338 0.500 Y
0.827 0.173 0.000 Ag
0.173 0.827 0.000 Ag
0.000 0.000 0.500 I
0.654 0.654 0.638 O
0.944 0.297 0.670 O
0.346 0.346 0.362 O
0.297 0.944 0.670 O
0.056 0.703 0.330 O
0.703 0.056 0.330 O
```

---

The records above yield energy values of -19.46, -161.20, -17.05, -65.29, -330.84, -63.03, -29.87, -22.77, -40.08, -92.41, -39.90, -66.82 eV/cell, respectively.
The records above yield density of states at the Fermi level values of 5.864, 12.128, 2.782, 9.651, 124.310, 5.212, 4.057, 2.247, 15.434, 1.849, 5.155, 1.228 states/eV per cell, respectively.